Entry 1:
# Ac2NdTmSb4

A relaxed Ac2NdTmSb4 crystal (GGA-PBE, Alexandria via LeMat-Bulk).

Summary:
Fermi-level density of states: 1.00 states/eV per cell
Raw total energy: -5.391 eV per atom
E_form (uncorrected): -1.148 eV/atom

```
data_Ac2NdTmSb4
_chemical_formula_sum 'Ac2 Nd1 Tm1 Sb4'
_space_group_name_H-M_alt 'P 1'
_space_group_IT_number 1
_space_group_name_Hall 'P 1'
_cell_length_a 7.997
_cell_length_b 4.622
_cell_length_c 7.998
_cell_angle_alpha 90.00
_cell_angle_beta 109.49
_cell_angle_gamma 90.00
loop_
_atom_site_label
_atom_site_type_symbol
_atom_site_fract_x
_atom_site_fract_y
_atom_site_fract_z
_atom_site_occupancy
Ac1 Ac 0.000 0.000 0.000 1
Ac2 Ac 0.000 0.500 0.500 1
Nd1 Nd 0.500 0.000 0.500 1
Tm1 Tm 0.500 0.500 0.000 1
Sb1 Sb 0.269 0.500 0.251 1
Sb2 Sb 0.273 0.000 0.763 1
Sb3 Sb 0.727 0.000 0.237 1
Sb4 Sb 0.731 0.500 0.749 1
```

---

Entry 2:
# Ac2Nd6Sc

A relaxed Ac2Nd6Sc crystal (GGA-PBE, Alexandria via LeMat-Bulk).

Summary:
Fermi-level density of states: 27.75 states/eV per cell
Formation energy: 115 meV/atom
Raw total energy: -4.680 eV per atom

```
data_Ac2Nd6Sc
_chemical_formula_sum 'Ac4 Nd12 Sc2'
_space_group_name_H-M_alt 'P 1'
_space_group_IT_number 1
_space_group_name_Hall 'P 1'
_cell_length_a 9.296
_cell_length_b 9.296
_cell_length_c 9.280
_cell_angle_alpha 113.00
_cell_angle_beta 113.00
_cell_angle_gamma 65.95
loop_
_atom_site_label
_atom_site_type_symbol
_atom_site_fract_x
_atom_site_fract_y
_atom_site_fract_z
_atom_site_occupancy
Ac1 Ac 0.028 0.162 0.184 1
Ac2 Ac 0.162 0.028 0.684 1
Ac3 Ac 0.838 0.972 0.316 1
Ac4 Ac 0.972 0.838 0.816 1
Nd1 Nd 0.093 0.578 0.422 1
Nd2 Nd 0.174 0.360 0.027 1
Nd3 Nd 0.333 0.508 0.844 1
Nd4 Nd 0.360 0.174 0.527 1
Nd5 Nd 0.422 0.907 0.078 1
Nd6 Nd 0.492 0.667 0.656 1
Nd7 Nd 0.508 0.333 0.344 1
Nd8 Nd 0.578 0.093 0.922 1
Nd9 Nd 0.640 0.826 0.473 1
Nd10 Nd 0.667 0.492 0.156 1
Nd11 Nd 0.826 0.640 0.973 1
Nd12 Nd 0.907 0.422 0.578 1
Sc1 Sc 0.263 0.737 0.250 1
Sc2 Sc 0.737 0.263 0.750 1
```

---

Entry 3:
# AcNd2Sc

A relaxed AcNd2Sc crystal (GGA-PBE, Alexandria via LeMat-Bulk).

Summary:
Fermi-level density of states: 5.91 states/eV per cell
Formation energy: 66 meV/atom
Raw total energy: -4.928 eV per atom

```
data_AcNd2Sc
_chemical_formula_sum 'Ac1 Nd2 Sc1'
_space_group_name_H-M_alt 'P 1'
_space_group_IT_number 1
_space_group_name_Hall 'P 1'
_cell_length_a 5.120
_cell_length_b 5.120
_cell_length_c 5.235
_cell_angle_alpha 90.00
_cell_angle_beta 90.00
_cell_angle_gamma 90.00
loop_
_atom_site_label
_atom_site_type_symbol
_atom_site_fract_x
_atom_site_fract_y
_atom_site_fract_z
_atom_site_occupancy
Ac1 Ac 0.000 0.000 0.000 1
Nd1 Nd 0.000 0.500 0.500 1
Nd2 Nd 0.500 0.000 0.500 1
Sc1 Sc 0.500 0.500 0.000 1
```

---

Entry 4:
# AcNd2Sc

A relaxed AcNd2Sc crystal (GGA-PBE, Alexandria via LeMat-Bulk).

Summary:
Fermi-level density of states: 8.27 states/eV per cell
Formation energy: 74 meV/atom
Raw total energy: -4.920 eV per atom

```
data_AcNd2Sc
_chemical_formula_sum 'Ac1 Nd2 Sc1'
_space_group_name_H-M_alt 'P 1'
_space_group_IT_number 1
_space_group_name_Hall 'P 1'
_cell_length_a 3.745
_cell_length_b 3.745
_cell_length_c 9.916
_cell_angle_alpha 90.00
_cell_angle_beta 90.00
_cell_angle_gamma 90.00
loop_
_atom_site_label
_atom_site_type_symbol
_atom_site_fract_x
_atom_site_fract_y
_atom_site_fract_z
_atom_site_occupancy
Ac1 Ac 0.000 0.000 0.000 1
Nd1 Nd 0.500 0.500 0.279 1
Nd2 Nd 0.500 0.500 0.721 1
Sc1 Sc 0.000 0.000 0.500 1
```

---

Entry 5:
# AcNd2Sc

A relaxed AcNd2Sc crystal (GGA-PBE, Alexandria via LeMat-Bulk).

Summary:
Fermi-level density of states: 5.85 states/eV per cell
Formation energy: 99 meV/atom
Raw total energy: -4.895 eV per atom

```
data_AcNd2Sc
_chemical_formula_sum 'Ac1 Nd2 Sc1'
_space_group_name_H-M_alt 'P 1'
_space_group_IT_number 1
_space_group_name_Hall 'P 1'
_cell_length_a 11.996
_cell_length_b 11.996
_cell_length_c 11.996
_cell_angle_alpha 17.69
_cell_angle_beta 17.69
_cell_angle_gamma 17.69
loop_
_atom_site_label
_atom_site_type_symbol
_atom_site_fract_x
_atom_site_fract_y
_atom_site_fract_z
_atom_site_occupancy
Ac1 Ac 0.000 0.000 0.000 1
Nd1 Nd 0.577 0.577 0.577 1
Nd2 Nd 0.757 0.757 0.757 1
Sc1 Sc 0.167 0.167 0.167 1
```

---

Entry 6:
# Ac2NdSc

A relaxed Ac2NdSc crystal (GGA-PBE, Alexandria via LeMat-Bulk).

Summary:
Fermi-level density of states: 6.16 states/eV per cell
Formation energy: 122 meV/atom
Raw total energy: -4.707 eV per atom

```
data_Ac2NdSc
_chemical_formula_sum 'Ac2 Nd1 Sc1'
_space_group_name_H-M_alt 'P 1'
_space_group_IT_number 1
_space_group_name_Hall 'P 1'
_cell_length_a 12.126
_cell_length_b 12.126
_cell_length_c 12.126
_cell_angle_alpha 17.92
_cell_angle_beta 17.92
_cell_angle_gamma 17.92
loop_
_atom_site_label
_atom_site_type_symbol
_atom_site_fract_x
_atom_site_fract_y
_atom_site_fract_z
_atom_site_occupancy
Ac1 Ac 0.000 0.000 0.000 1
Ac2 Ac 0.158 0.158 0.158 1
Nd1 Nd 0.577 0.577 0.577 1
Sc1 Sc 0.746 0.746 0.746 1
```

---

Entry 7:
# Ac2NdSc

A relaxed Ac2NdSc crystal (GGA-PBE, Alexandria via LeMat-Bulk).

Summary:
Fermi-level density of states: 5.72 states/eV per cell
Formation energy: 70 meV/atom
Raw total energy: -4.759 eV per atom

```
data_Ac2NdSc
_chemical_formula_sum 'Ac2 Nd1 Sc1'
_space_group_name_H-M_alt 'P 1'
_space_group_IT_number 1
_space_group_name_Hall 'P 1'
_cell_length_a 3.901
_cell_length_b 3.901
_cell_length_c 9.663
_cell_angle_alpha 90.00
_cell_angle_beta 90.00
_cell_angle_gamma 90.00
loop_
_atom_site_label
_atom_site_type_symbol
_atom_site_fract_x
_atom_site_fract_y
_atom_site_fract_z
_atom_site_occupancy
Ac1 Ac 0.000 0.000 0.232 1
Ac2 Ac 0.000 0.000 0.768 1
Nd1 Nd 0.500 0.500 0.500 1
Sc1 Sc 0.500 0.500 0.000 1
```

---

Entry 8:
# AcNd2Sc

A relaxed AcNd2Sc crystal (GGA-PBE, Alexandria via LeMat-Bulk).

Summary:
Fermi-level density of states: 9.70 states/eV per cell
Formation energy: 197 meV/atom
Raw total energy: -4.797 eV per atom

```
data_AcNd2Sc
_chemical_formula_sum 'Ac1 Nd2 Sc1'
_space_group_name_H-M_alt 'P 1'
_space_group_IT_number 1
_space_group_name_Hall 'P 1'
_cell_length_a 5.828
_cell_length_b 5.828
_cell_length_c 5.828
_cell_angle_alpha 60.00
_cell_angle_beta 60.00
_cell_angle_gamma 60.00
loop_
_atom_site_label
_atom_site_type_symbol
_atom_site_fract_x
_atom_site_fract_y
_atom_site_fract_z
_atom_site_occupancy
Ac1 Ac 0.000 0.000 0.000 1
Nd1 Nd 0.250 0.250 0.250 1
Nd2 Nd 0.750 0.750 0.750 1
Sc1 Sc 0.500 0.500 0.500 1
```

---

Entry 9:
# Ac2NdSc

A relaxed Ac2NdSc crystal (GGA-PBE, Alexandria via LeMat-Bulk).

Summary:
Fermi-level density of states: 7.88 states/eV per cell
Formation energy: 126 meV/atom
Raw total energy: -4.703 eV per atom

```
data_Ac2NdSc
_chemical_formula_sum 'Ac2 Nd1 Sc1'
_space_group_name_H-M_alt 'P 1'
_space_group_IT_number 1
_space_group_name_Hall 'P 1'
_cell_length_a 5.931
_cell_length_b 5.931
_cell_length_c 5.931
_cell_angle_alpha 60.00
_cell_angle_beta 60.00
_cell_angle_gamma 60.00
loop_
_atom_site_label
_atom_site_type_symbol
_atom_site_fract_x
_atom_site_fract_y
_atom_site_fract_z
_atom_site_occupancy
Ac1 Ac 0.250 0.250 0.250 1
Ac2 Ac 0.750 0.750 0.750 1
Nd1 Nd 0.000 0.000 0.000 1
Sc1 Sc 0.500 0.500 0.500 1
```

---

Entry 10:
# Ac2NdSc

A relaxed Ac2NdSc crystal (GGA-PBE, Alexandria via LeMat-Bulk).

Summary:
Fermi-level density of states: 5.39 states/eV per cell
Formation energy: 81 meV/atom
Raw total energy: -4.748 eV per atom

```
data_Ac2NdSc
_chemical_formula_sum 'Ac2 Nd1 Sc1'
_space_group_name_H-M_alt 'P 1'
_space_group_IT_number 1
_space_group_name_Hall 'P 1'
_cell_length_a 5.363
_cell_length_b 5.363
_cell_length_c 5.105
_cell_angle_alpha 90.00
_cell_angle_beta 90.00
_cell_angle_gamma 90.00
loop_
_atom_site_label
_atom_site_type_symbol
_atom_site_fract_x
_atom_site_fract_y
_atom_site_fract_z
_atom_site_occupancy
Ac1 Ac 0.000 0.500 0.000 1
Ac2 Ac 0.500 0.000 0.000 1
Nd1 Nd 0.000 0.000 0.500 1
Sc1 Sc 0.500 0.500 0.500 1
```

---

Entry 11:
# Ac3Nd12Sc

A relaxed Ac3Nd12Sc crystal (GGA-PBE, Alexandria via LeMat-Bulk).

Summary:
Fermi-level density of states: 26.80 states/eV per cell
Formation energy: 34 meV/atom
Raw total energy: -4.708 eV per atom

```
data_Ac3Nd12Sc
_chemical_formula_sum 'Ac3 Nd12 Sc1'
_space_group_name_H-M_alt 'P 1'
_space_group_IT_number 1
_space_group_name_Hall 'P 1'
_cell_length_a 5.258
_cell_length_b 5.258
_cell_length_c 20.936
_cell_angle_alpha 90.00
_cell_angle_beta 90.00
_cell_angle_gamma 90.00
loop_
_atom_site_label
_atom_site_type_symbol
_atom_site_fract_x
_atom_site_fract_y
_atom_site_fract_z
_atom_site_occupancy
Ac1 Ac 0.000 0.000 0.000 1
Ac2 Ac 0.000 0.000 0.255 1
Ac3 Ac 0.000 0.000 0.745 1
Nd1 Nd 0.000 0.500 0.127 1
Nd2 Nd 0.000 0.500 0.384 1
Nd3 Nd 0.000 0.500 0.616 1
Nd4 Nd 0.000 0.500 0.873 1
Nd5 Nd 0.500 0.000 0.127 1
Nd6 Nd 0.500 0.000 0.384 1
Nd7 Nd 0.500 0.000 0.616 1
Nd8 Nd 0.500 0.000 0.873 1
Nd9 Nd 0.500 0.500 0.000 1
Nd10 Nd 0.500 0.500 0.257 1
Nd11 Nd 0.500 0.500 0.500 1
Nd12 Nd 0.500 0.500 0.743 1
Sc1 Sc 0.000 0.000 0.500 1
```

---

Entry 12:
# AcNd2Sc

A relaxed AcNd2Sc crystal (GGA-PBE, Alexandria via LeMat-Bulk).

Summary:
Fermi-level density of states: 6.51 states/eV per cell
Formation energy: 294 meV/atom
Raw total energy: -4.700 eV per atom

```
data_AcNd2Sc
_chemical_formula_sum 'Ac1 Nd2 Sc1'
_space_group_name_H-M_alt 'P 1'
_space_group_IT_number 1
_space_group_name_Hall 'P 1'
_cell_length_a 12.701
_cell_length_b 12.701
_cell_length_c 12.701
_cell_angle_alpha 16.31
_cell_angle_beta 16.31
_cell_angle_gamma 16.31
loop_
_atom_site_label
_atom_site_type_symbol
_atom_site_fract_x
_atom_site_fract_y
_atom_site_fract_z
_atom_site_occupancy
Ac1 Ac 0.000 0.000 0.000 1
Nd1 Nd 0.416 0.416 0.416 1
Nd2 Nd 0.584 0.584 0.584 1
Sc1 Sc 0.500 0.500 0.500 1
```